--- i ---
TlCd3O | PBE-GGA | relaxed

The structure in CIF format:
```
data_TlCd3O
_chemical_formula_sum 'Tl1 Cd3 O1'
_cell_length_a 4.770
_cell_length_b 4.770
_cell_length_c 4.770
_cell_angle_alpha 90.00
_cell_angle_beta 90.00
_cell_angle_gamma 90.00
_symmetry_space_group_name_H-M 'P 1'
_symmetry_Int_Tables_number 1
_symmetry_space_group_name_Hall 'P 1'
loop_
_atom_site_label
_atom_site_type_symbol
_atom_site_fract_x
_atom_site_fract_y
_atom_site_fract_z
Tl1 Tl 0.500 0.500 0.500
O1 O 0.000 0.000 0.000
Cd1 Cd 0.000 0.500 0.000
Cd2 Cd 0.000 0.000 0.500
Cd3 Cd 0.500 0.000 0.000
```

Calculated values
M_tot   0.00 μB/atom
Symmetry   No. 221
N(E_F)   2.1 states/eV/cell


--- ii ---
TlCd3O | PBE-GGA | relaxed

The structure in CIF format:
```
data_TlCd3O
_chemical_formula_sum 'Tl1 Cd3 O1'
_cell_length_a 5.489
_cell_length_b 5.489
_cell_length_c 5.489
_cell_angle_alpha 90.00
_cell_angle_beta 90.00
_cell_angle_gamma 90.00
_symmetry_space_group_name_H-M 'P 1'
_symmetry_Int_Tables_number 1
_symmetry_space_group_name_Hall 'P 1'
loop_
_atom_site_label
_atom_site_type_symbol
_atom_site_fract_x
_atom_site_fract_y
_atom_site_fract_z
Tl1 Tl 0.000 0.000 0.000
O1 O 0.500 0.500 0.500
Cd1 Cd 0.000 0.500 0.000
Cd2 Cd 0.000 0.000 0.500
Cd3 Cd 0.500 0.000 0.000
```

Calculated values
M_tot   0.00 μB/atom
Symmetry   No. 221
N(E_F)   17.3 states/eV/cell


Least stable of them? ii.


--- i ---
TlCd2O3 | PBE-GGA | relaxed

The structure in CIF format:
```
data_TlCd2O3
_chemical_formula_sum 'Tl2 Cd4 O6'
_cell_length_a 4.790
_cell_length_b 6.996
_cell_length_c 6.053
_cell_angle_alpha 106.80
_cell_angle_beta 113.31
_cell_angle_gamma 90.00
_symmetry_space_group_name_H-M 'P 1'
_symmetry_Int_Tables_number 1
_symmetry_space_group_name_Hall 'P 1'
loop_
_atom_site_label
_atom_site_type_symbol
_atom_site_fract_x
_atom_site_fract_y
_atom_site_fract_z
Tl1 Tl 0.000 0.750 0.000
Tl2 Tl 0.000 0.250 0.000
Cd1 Cd 0.669 0.585 0.338
Cd2 Cd 0.669 0.085 0.338
Cd3 Cd 0.331 0.915 0.662
Cd4 Cd 0.331 0.415 0.662
O1 O 0.500 0.250 0.000
O2 O 0.500 0.750 0.000
O3 O 0.181 0.091 0.362
O4 O 0.819 0.409 0.638
O5 O 0.181 0.591 0.362
O6 O 0.819 0.909 0.638
```

Calculated values
M_tot   0.00 μB/atom
Symmetry   No. 71
N(E_F)   3.3 states/eV/cell


--- ii ---
TlCd2O3 | PBE-GGA | relaxed

The structure in CIF format:
```
data_TlCd2O3
_chemical_formula_sum 'Tl1 Cd2 O3'
_cell_length_a 3.463
_cell_length_b 3.463
_cell_length_c 7.772
_cell_angle_alpha 102.87
_cell_angle_beta 102.87
_cell_angle_gamma 89.99
_symmetry_space_group_name_H-M 'P 1'
_symmetry_Int_Tables_number 1
_symmetry_space_group_name_Hall 'P 1'
loop_
_atom_site_label
_atom_site_type_symbol
_atom_site_fract_x
_atom_site_fract_y
_atom_site_fract_z
Tl1 Tl 0.434 0.436 0.874
Cd1 Cd 0.104 0.105 0.213
Cd2 Cd 0.765 0.766 0.535
O1 O 0.934 0.936 0.874
O2 O 0.262 0.264 0.530
O3 O 0.606 0.608 0.218
```

Calculated values
M_tot   0.00 μB/atom
Symmetry   No. 139
N(E_F)   1.9 states/eV/cell


Least stable of them? ii.


--- i ---
UCd3O6 | PBE-GGA | relaxed

The structure in CIF format:
```
data_UCd3O6
_chemical_formula_sum 'U2 Cd6 O12'
_cell_length_a 6.712
_cell_length_b 6.712
_cell_length_c 6.712
_cell_angle_alpha 91.22
_cell_angle_beta 91.22
_cell_angle_gamma 91.22
_symmetry_space_group_name_H-M 'P 1'
_symmetry_Int_Tables_number 1
_symmetry_space_group_name_Hall 'P 1'
loop_
_atom_site_label
_atom_site_type_symbol
_atom_site_fract_x
_atom_site_fract_y
_atom_site_fract_z
U1 U 0.000 0.000 0.000
U2 U 0.500 0.500 0.500
Cd1 Cd 0.442 0.939 0.750
Cd2 Cd 0.939 0.750 0.442
Cd3 Cd 0.250 0.558 0.061
Cd4 Cd 0.750 0.442 0.939
Cd5 Cd 0.061 0.250 0.558
Cd6 Cd 0.558 0.061 0.250
O1 O 0.296 0.929 0.073
O2 O 0.071 0.927 0.704
O3 O 0.591 0.796 0.449
O4 O 0.927 0.704 0.071
O5 O 0.449 0.591 0.796
O6 O 0.204 0.551 0.409
O7 O 0.796 0.449 0.591
O8 O 0.551 0.409 0.204
O9 O 0.073 0.296 0.929
O10 O 0.409 0.204 0.551
O11 O 0.929 0.073 0.296
O12 O 0.704 0.071 0.927
```

Calculated values
M_tot   0.00 μB/atom
Symmetry   No. 148
N(E_F)   0.0 states/eV/cell


--- ii ---
UCd3O6 | PBE-GGA | relaxed

The structure in CIF format:
```
data_UCd3O6
_chemical_formula_sum 'U2 Cd6 O12'
_cell_length_a 5.826
_cell_length_b 5.740
_cell_length_c 10.154
_cell_angle_alpha 56.32
_cell_angle_beta 90.00
_cell_angle_gamma 90.00
_symmetry_space_group_name_H-M 'P 1'
_symmetry_Int_Tables_number 1
_symmetry_space_group_name_Hall 'P 1'
loop_
_atom_site_label
_atom_site_type_symbol
_atom_site_fract_x
_atom_site_fract_y
_atom_site_fract_z
U1 U 0.500 0.000 0.500
U2 U 0.000 0.000 0.000
Cd1 Cd 0.500 0.500 0.000
Cd2 Cd 0.039 0.739 0.756
Cd3 Cd 0.539 0.261 0.744
Cd4 Cd 0.000 0.500 0.500
Cd5 Cd 0.461 0.739 0.256
Cd6 Cd 0.961 0.261 0.244
O1 O 0.585 0.353 0.262
O2 O 0.802 0.079 0.575
O3 O 0.833 0.744 0.945
O4 O 0.333 0.256 0.555
O5 O 0.302 0.921 0.925
O6 O 0.085 0.647 0.238
O7 O 0.915 0.353 0.762
O8 O 0.698 0.079 0.075
O9 O 0.667 0.744 0.445
O10 O 0.167 0.256 0.055
O11 O 0.198 0.921 0.425
O12 O 0.415 0.647 0.738
```

Calculated values
M_tot   0.00 μB/atom
Symmetry   No. 14
N(E_F)   0.0 states/eV/cell


Least stable of them? ii.